(1)
A plane-wave DFT calculation with PBE was carried out for a relaxed structure of ErTa2AlC4.

Summary:
Energy relative to the elements = -0.272 eV/atom

Lattice parameters (Å, degrees): 3.251 5.694 11.121 90.00 90.00 106.59
Positions (direct):
C 0.263 0.526 0.113
C 0.737 0.474 0.887
C 0.447 0.893 0.750
C 0.737 0.474 0.613
C 0.553 0.107 0.250
C 0.000 0.000 0.500
C 0.263 0.526 0.387
C 0.000 0.000 0.000
Al 0.150 0.301 0.250
Al 0.850 0.699 0.750
Ta 0.369 0.737 0.957
Ta 0.369 0.737 0.543
Ta 0.631 0.263 0.043
Ta 0.631 0.263 0.457
Er 0.114 0.227 0.750
Er 0.886 0.773 0.250

***

(2)
A plane-wave DFT calculation with PBE was carried out for a relaxed structure of TbEr2AlC.

Summary:
Energy relative to the elements = -0.408 eV/atom

Lattice parameters (Å, degrees): 4.916 4.831 4.831 90.00 90.00 90.00
Positions (direct):
Er 0.000 0.500 0.000
Er 0.000 0.000 0.500
Al 0.500 0.500 0.500
Tb 0.500 0.000 0.000
C 0.000 0.000 0.000

***

(3)
A plane-wave DFT calculation with PBE was carried out for a relaxed structure of Er3Al2Tc3C.

Summary:
Energy relative to the elements = -0.065 eV/atom

Lattice parameters (Å, degrees): 3.411 7.293 7.293 120.00 90.00 90.00
Positions (direct):
Al 0.500 0.667 0.333
Al 0.500 0.333 0.667
Tc 0.500 0.228 0.228
Tc 0.500 0.000 0.772
Tc 0.500 0.772 0.000
Er 0.000 0.357 0.000
Er 0.000 0.000 0.357
Er 0.000 0.643 0.643
C 0.000 0.000 0.000

***

(4)
A plane-wave DFT calculation with PBE was carried out for a relaxed structure of Er2ThAlC.

Summary:
Energy relative to the elements = -0.349 eV/atom

Lattice parameters (Å, degrees): 5.028 4.852 4.852 90.00 90.00 90.00
Positions (direct):
Al 0.500 0.500 0.500
Th 0.500 0.000 0.000
Er 0.000 0.000 0.500
Er 0.000 0.500 0.000
C 0.000 0.000 0.000

***

(5)
A plane-wave DFT calculation with PBE was carried out for a relaxed structure of ErTm2AlC.

Summary:
Energy relative to the elements = -0.446 eV/atom

Lattice parameters (Å, degrees): 4.828 4.799 4.799 90.00 90.00 90.00
Positions (direct):
C 0.000 0.000 0.000
Al 0.500 0.500 0.500
Tm 0.000 0.500 0.000
Tm 0.000 0.000 0.500
Er 0.500 0.000 0.000

***

(6)
A plane-wave DFT calculation with PBE was carried out for a relaxed structure of YEr2AlC.

Summary:
Energy relative to the elements = -0.428 eV/atom

Lattice parameters (Å, degrees): 4.888 4.833 4.833 90.00 90.00 90.00
Positions (direct):
Al 0.500 0.500 0.500
C 0.000 0.000 0.000
Y 0.500 0.000 0.000
Er 0.000 0.000 0.500
Er 0.000 0.500 0.000

***

(7)
A plane-wave DFT calculation with PBE was carried out for a relaxed structure of Al2CF.

Summary:
Offset from the most stable computed form = 0.0000 eV per atom

Lattice parameters (Å, degrees): 4.744 4.744 5.872 66.17 66.17 90.00
Positions (direct):
Al 0.175 0.625 0.250
Al 0.575 0.125 0.250
Al 0.875 0.825 0.750
Al 0.375 0.425 0.750
F 0.000 0.000 0.000
F 0.750 0.250 0.500
C 0.250 0.750 0.500
C 0.500 0.500 0.000

***

(8)
A plane-wave DFT calculation with PBE was carried out for a relaxed structure of AlCF3.

Summary:
Offset from the most stable computed form = 1.0203 eV per atom

Lattice parameters (Å, degrees): 3.948 3.948 3.948 90.00 90.00 90.00
Positions (direct):
F 0.500 0.000 0.000
F 0.000 0.500 0.000
F 0.000 0.000 0.500
Al 0.500 0.500 0.500
C 0.000 0.000 0.000

***

(9)
A plane-wave DFT calculation with PBE was carried out for a relaxed structure of AlC3F.

Summary:
Offset from the most stable computed form = 0.4354 eV per atom

Lattice parameters (Å, degrees): 3.703 3.703 3.703 90.00 90.00 90.00
Positions (direct):
C 0.000 0.500 0.000
C 0.500 0.000 0.000
C 0.000 0.000 0.500
Al 0.500 0.500 0.500
F 0.000 0.000 0.000

***

(10)
A plane-wave DFT calculation with PBE was carried out for a relaxed structure of AlC3F.

Summary:
Offset from the most stable computed form = 0.0000 eV per atom

Lattice parameters (Å, degrees): 3.960 3.960 3.960 90.00 90.00 90.00
Last column: magnetic moment on the atom in μB.
Positions (direct):
C 0.000 0.500 0.000  0.05
C 0.500 0.000 0.000  0.07
C 0.000 0.000 0.500  0.07
F 0.500 0.500 0.500  0.16
Al 0.000 0.000 0.000  -0.01

***

(11)
A plane-wave DFT calculation with PBE was carried out for a relaxed structure of Al2CF.

Summary:
Offset from the most stable computed form = 0.5527 eV per atom

Lattice parameters (Å, degrees): 3.905 3.905 3.905 60.00 60.00 60.00
Positions (direct):
C 0.000 0.000 0.000
Al 0.750 0.750 0.750
Al 0.250 0.250 0.250
F 0.500 0.500 0.500

***

(12)
A plane-wave DFT calculation with PBE was carried out for a relaxed structure of AlCF3.

Summary:
Offset from the most stable computed form = 0.0000 eV per atom

Lattice parameters (Å, degrees): 3.749 3.749 3.749 90.00 90.00 90.00
Last column: magnetic moment on the atom in μB.
Positions (direct):
C 0.500 0.500 0.500  0.99
F 0.000 0.000 0.500  0.07
F 0.500 0.000 0.000  0.01
F 0.000 0.500 0.000  0.02
Al 0.000 0.000 0.000  0.00

***

Values of calculated density, in order: 10.171 7.707 9.105 8.494 8.127 6.725 2.602 2.590 2.682 2.193 3.351 3.025, all in g cm⁻³.